Entry 1:
First-principles (PBE) data for crystalline PrY4Er7 at its relaxed geometry, as listed in Alexandria.

Properties
Total magnetization in μB per atom: 0.000
Space group: C2/m, No. 12
Energy of formation from the pure elements in meV per atom: 275

Unit cell a=6.701 b=6.701 c=12.628 alpha=115.03 beta=115.03 gamma=51.82
Sites, in units of the cell vectors:
Pr  0.000  0.000  0.000
Y  0.251  0.251  0.684
Y  0.370  0.370  0.225
Y  0.630  0.630  0.775
Y  0.749  0.749  0.316
Er  0.059  0.059  0.331
Er  0.211  0.211  0.923
Er  0.365  0.365  0.496
Er  0.500  0.500  0.000
Er  0.635  0.635  0.504
Er  0.789  0.789  0.077
Er  0.941  0.941  0.669



Entry 2:
First-principles (PBE) data for crystalline MgHSCl2 at its relaxed geometry, as listed in Alexandria.

Properties
Total magnetization in μB per atom: 0.180
Energy above the most stable polymorph in this dataset in meV/atom: 0.0
Space group: P4/mmm, No. 123

Unit cell a=5.047 b=5.047 c=3.360 alpha=90.00 beta=90.00 gamma=90.00
Sites, in units of the cell vectors:
Mg  0.000  0.000  0.000
H  0.500  0.500  0.500
S  0.500  0.500  0.000
Cl  0.000  0.500  0.500
Cl  0.500  0.000  0.500



Entry 3:
First-principles (PBE) data for crystalline AcTmTePb at its relaxed geometry, as listed in Alexandria.

Properties
Total magnetization in μB per atom: 0.000
Space group: R3m, No. 160
Formation energy without anion corrections in eV per atom: -0.928

Unit cell a=7.939 b=7.939 c=7.939 alpha=33.83 beta=33.83 gamma=33.83
Sites, in units of the cell vectors:
Ac  0.000  0.000  0.000
Tm  0.492  0.492  0.492
Te  0.237  0.237  0.237
Pb  0.755  0.755  0.755



Entry 4:
First-principles (PBE) data for crystalline Sc2RuPtSe at its relaxed geometry, as listed in Alexandria.

Properties
Total magnetization in μB per atom: 0.000
Space group: P4/mmm, No. 123
Formation energy without anion corrections in eV per atom: 0.007

Unit cell a=5.042 b=5.042 c=4.673 alpha=90.00 beta=90.00 gamma=90.00
Sites, in units of the cell vectors:
Sc  0.000  0.500  0.000
Sc  0.500  0.000  0.000
Ru  0.000  0.000  0.000
Pt  0.000  0.000  0.500
Se  0.500  0.500  0.500



Entry 5:
First-principles (PBE) data for crystalline Ac2HgS4 at its relaxed geometry, as listed in Alexandria.

Properties
Total magnetization in μB per atom: 0.000
Energy above the most stable polymorph in this dataset in meV/atom: 135.1
Space group: P2_1/m, No. 11
Formation energy without anion corrections in eV per atom: -1.478

Unit cell a=6.992 b=6.911 c=8.326 alpha=90.00 beta=107.53 gamma=90.00
Sites, in units of the cell vectors:
Ac  0.224  0.250  0.058
Ac  0.238  0.250  0.558
Ac  0.762  0.750  0.442
Ac  0.776  0.750  0.942
Hg  0.247  0.750  0.811
Hg  0.753  0.250  0.189
S  0.020  0.516  0.257
S  0.020  0.984  0.257
S  0.456  0.750  0.612
S  0.462  0.750  0.115
S  0.538  0.250  0.885
S  0.544  0.250  0.388
S  0.980  0.016  0.743
S  0.980  0.484  0.743



Entry 6:
First-principles (PBE) data for crystalline DyTh11 at its relaxed geometry, as listed in Alexandria.

Properties
Total magnetization in μB per atom: 0.000
Space group: P6/mmm, No. 191
Energy of formation from the pure elements in meV per atom: 107

Unit cell a=11.384 b=11.384 c=3.490 alpha=90.00 beta=90.00 gamma=120.00
Sites, in units of the cell vectors:
Dy  0.000  0.000  0.000
Th  0.000  0.500  0.000
Th  0.171  0.343  0.500
Th  0.171  0.829  0.500
Th  0.333  0.667  0.000
Th  0.343  0.171  0.500
Th  0.500  0.000  0.000
Th  0.500  0.500  0.000
Th  0.657  0.829  0.500
Th  0.667  0.333  0.000
Th  0.829  0.171  0.500
Th  0.829  0.657  0.500



Entry 7:
First-principles (PBE) data for crystalline Tl2CuPd5Au2 at its relaxed geometry, as listed in Alexandria.

Properties
Total magnetization in μB per atom: 0.000
Space group: P4/mbm, No. 127
Energy of formation from the pure elements in meV per atom: -34

Unit cell a=10.796 b=10.796 c=3.099 alpha=90.00 beta=90.00 gamma=90.00
Sites, in units of the cell vectors:
Tl  0.162  0.338  0.000
Tl  0.338  0.838  0.000
Tl  0.662  0.162  0.000
Tl  0.838  0.662  0.000
Cu  0.000  0.000  0.000
Cu  0.500  0.500  0.000
Pd  0.000  0.500  0.500
Pd  0.002  0.806  0.500
Pd  0.194  0.002  0.500
Pd  0.306  0.502  0.500
Pd  0.498  0.306  0.500
Pd  0.500  0.000  0.500
Pd  0.502  0.694  0.500
Pd  0.694  0.498  0.500
Pd  0.806  0.998  0.500
Pd  0.998  0.194  0.500
Au  0.155  0.655  0.000
Au  0.345  0.155  0.000
Au  0.655  0.845  0.000
Au  0.845  0.345  0.000



Entry 8:
First-principles (PBE) data for crystalline Nd3HoHg12 at its relaxed geometry, as listed in Alexandria.

Properties
Total magnetization in μB per atom: 0.000
Space group: P4/mmm, No. 123
Energy of formation from the pure elements in meV per atom: -337

Unit cell a=4.653 b=4.653 c=18.939 alpha=90.00 beta=90.00 gamma=90.00
Sites, in units of the cell vectors:
Nd  0.000  0.000  0.000
Nd  0.000  0.000  0.254
Nd  0.000  0.000  0.746
Ho  0.000  0.000  0.500
Hg  0.000  0.500  0.127
Hg  0.000  0.500  0.380
Hg  0.000  0.500  0.620
Hg  0.000  0.500  0.873
Hg  0.500  0.000  0.127
Hg  0.500  0.000  0.380
Hg  0.500  0.000  0.620
Hg  0.500  0.000  0.873
Hg  0.500  0.500  0.000
Hg  0.500  0.500  0.253
Hg  0.500  0.500  0.500
Hg  0.500  0.500  0.747



Entry 9:
First-principles (PBE) data for crystalline MgSiSe at its relaxed geometry, as listed in Alexandria.

Properties
Total magnetization in μB per atom: 0.000
Energy above the most stable polymorph in this dataset in meV/atom: 128.2
Space group: Amm2, No. 38
Formation energy without anion corrections in eV per atom: -0.524

Unit cell a=3.821 b=6.489 c=6.489 alpha=121.57 beta=90.00 gamma=90.00
Sites, in units of the cell vectors:
Mg  0.000  0.189  0.811
Mg  0.000  0.811  0.189
Si  0.000  0.754  0.754
Si  0.500  0.545  0.545
Se  0.500  0.143  0.476
Se  0.500  0.476  0.143



Entry 10:
First-principles (PBE) data for crystalline Be2Se3 at its relaxed geometry, as listed in Alexandria.

Properties
Total magnetization in μB per atom: 0.000
Energy above the most stable polymorph in this dataset in meV/atom: 224.3
Space group: R-3m, No. 166
Formation energy without anion corrections in eV per atom: -0.168

Unit cell a=8.360 b=8.360 c=8.360 alpha=24.37 beta=24.37 gamma=24.37
Sites, in units of the cell vectors:
Be  0.096  0.096  0.096
Be  0.904  0.904  0.904
Se  0.276  0.276  0.276
Se  0.500  0.500  0.500
Se  0.724  0.724  0.724



Entry 11:
First-principles (PBE) data for crystalline Ta5NbS4 at its relaxed geometry, as listed in Alexandria.

Properties
Total magnetization in μB per atom: 0.000
Space group: C2/m, No. 12
Formation energy without anion corrections in eV per atom: -0.390

Unit cell a=7.641 b=7.641 c=7.843 alpha=99.42 beta=99.42 gamma=23.34
Sites, in units of the cell vectors:
Ta  0.000  0.000  0.000
Ta  0.307  0.307  0.885
Ta  0.384  0.384  0.223
Ta  0.616  0.616  0.777
Ta  0.693  0.693  0.115
Nb  0.000  0.000  0.500
S  0.250  0.250  0.346
S  0.443  0.443  0.731
S  0.557  0.557  0.269
S  0.750  0.750  0.654



Entry 12:
First-principles (PBE) data for crystalline SrBePt3 at its relaxed geometry, as listed in Alexandria.

Properties
Total magnetization in μB per atom: 0.000
Energy above the most stable polymorph in this dataset in meV/atom: 537.5
Space group: P6_3/mmc, No. 194
Energy of formation from the pure elements in meV per atom: -207

Unit cell a=4.626 b=4.626 c=9.439 alpha=90.00 beta=90.00 gamma=120.00
Sites, in units of the cell vectors:
Sr  0.333  0.667  0.250
Sr  0.667  0.333  0.750
Be  0.000  0.000  0.000
Be  0.000  0.000  0.500
Pt  0.000  0.000  0.250
Pt  0.000  0.000  0.750
Pt  0.333  0.667  0.567
Pt  0.333  0.667  0.933
Pt  0.667  0.333  0.067
Pt  0.667  0.333  0.433